Record 1
The following is a PBE calculation of TmHgPbSe3 after structural relaxation, from OQMD via LeMat-Bulk.

Energy   -4.0199 eV/atom
Calculated volume   343 Å³ per cell

a b c (Å): 7.5880 7.5880 11.3738
angles (deg): 90.00 90.00 148.40
Element x y z (fractional)
Hg  0.1629  0.8371  0.2500
Hg  0.8371  0.1629  0.7500
Pb  0.8402  0.1598  0.2500
Pb  0.1598  0.8402  0.7500
Se  0.1347  0.8653  0.0099
Se  0.4832  0.5168  0.2500
Se  0.1347  0.8653  0.4901
Se  0.8653  0.1347  0.5099
Se  0.5168  0.4832  0.7500
Se  0.8653  0.1347  0.9901
Tm  0.5000  0.5000  0.0000
Tm  0.5000  0.5000  0.5000

Record 2
The following is a PBE calculation of ZnHgPbSe3 after structural relaxation, from OQMD via LeMat-Bulk.

Energy   -2.8718 eV/atom
Calculated volume   333 Å³ per cell

a b c (Å): 7.3690 7.3690 11.9276
angles (deg): 90.00 90.00 30.91
Element x y z (fractional)
Hg  0.4988  0.4988  0.2500
Hg  0.5012  0.5012  0.7500
Pb  0.7848  0.7848  0.2500
Pb  0.2152  0.2152  0.7500
Se  0.3893  0.3893  0.0674
Se  0.1312  0.1312  0.2500
Se  0.3893  0.3893  0.4326
Se  0.6107  0.6107  0.5674
Se  0.8688  0.8688  0.7500
Se  0.6107  0.6107  0.9326
Zn  0.0000  0.0000  0.0000
Zn  0.0000  0.0000  0.5000

Record 3
The following is a PBE calculation of ZnHgPbSe3 after structural relaxation, from OQMD via LeMat-Bulk.

Energy   -2.9607 eV/atom
Calculated volume   308 Å³ per cell

a b c (Å): 7.0137 7.0137 11.3415
angles (deg): 90.00 90.00 33.51
Element x y z (fractional)
Hg  0.0000  0.0000  0.0000
Hg  0.0000  0.0000  0.5000
Pb  0.7607  0.7607  0.2500
Pb  0.2393  0.2393  0.7500
Se  0.3625  0.3625  0.0750
Se  0.0842  0.0842  0.2500
Se  0.3625  0.3625  0.4250
Se  0.6375  0.6375  0.5750
Se  0.9158  0.9158  0.7500
Se  0.6375  0.6375  0.9250
Zn  0.4717  0.4717  0.2500
Zn  0.5283  0.5283  0.7500

Record 4
The following is a PBE calculation of SiHgPb after structural relaxation, from OQMD via LeMat-Bulk.

Energy   -2.8145 eV/atom
Calculated volume   81 Å³ per cell

a b c (Å): 4.8493 4.8493 4.8493
angles (deg): 60.00 60.00 60.00
Element x y z (fractional)
Hg  0.2500  0.2500  0.2500
Pb  0.7500  0.7500  0.7500
Si  0.0000  0.0000  0.0000